[1]
# NaTl2SbBr PBEsol optimized geometry
# * formation energy (no corrections): -0.146 eV per atom
data_NaTl2SbBr
_chemical_formula_sum 'Na1 Tl2 Sb1 Br1'
_space_group_name_H-M_alt 'P 4/m m m'
_space_group_IT_number 123
_space_group_name_Hall '-P 4 2'
_cell_length_a 5.916
_cell_length_b 5.916
_cell_length_c 5.806
_cell_angle_alpha 90.00
_cell_angle_beta 90.00
_cell_angle_gamma 90.00
loop_
_atom_site_label
_atom_site_type_symbol
_atom_site_fract_x
_atom_site_fract_y
_atom_site_fract_z
_atom_site_occupancy
Na1 Na 0.000 0.000 0.000 1
Tl1 Tl 0.000 0.500 0.500 1
Sb1 Sb 0.000 0.000 0.500 1
Br1 Br 0.500 0.500 0.000 1

---

[2]
# Ca2TlSb PBEsol optimized geometry
# * formation energy (no corrections): -0.712 eV per atom
data_Ca2TlSb
_chemical_formula_sum 'Ca2 Tl1 Sb1'
_space_group_name_H-M_alt 'P 4/m m m'
_space_group_IT_number 123
_space_group_name_Hall '-P 4 2'
_cell_length_a 5.105
_cell_length_b 5.105
_cell_length_c 4.239
_cell_angle_alpha 90.00
_cell_angle_beta 90.00
_cell_angle_gamma 90.00
loop_
_atom_site_label
_atom_site_type_symbol
_atom_site_fract_x
_atom_site_fract_y
_atom_site_fract_z
_atom_site_occupancy
Ca1 Ca 0.000 0.500 0.000 1
Tl1 Tl 0.000 0.000 0.500 1
Sb1 Sb 0.500 0.500 0.500 1

---

[3]
# Ag2SbPb PBEsol optimized geometry
# * formation energy (no corrections): 0.078 eV per atom
data_Ag2SbPb
_chemical_formula_sum 'Ag2 Sb1 Pb1'
_space_group_name_H-M_alt 'P 4 m m'
_space_group_IT_number 99
_space_group_name_Hall 'P 4 -2'
_cell_length_a 3.361
_cell_length_b 3.361
_cell_length_c 7.879
_cell_angle_alpha 90.00
_cell_angle_beta 90.00
_cell_angle_gamma 90.00
loop_
_atom_site_label
_atom_site_type_symbol
_atom_site_fract_x
_atom_site_fract_y
_atom_site_fract_z
_atom_site_occupancy
Ag1 Ag 0.000 0.000 0.000 1
Ag2 Ag 0.500 0.500 0.193 1
Sb1 Sb 0.500 0.500 0.780 1
Pb1 Pb 0.000 0.000 0.439 1

---

[4]
# RuPtCl PBEsol optimized geometry
# * formation energy (no corrections): 0.503 eV per atom
data_RuPtCl
_chemical_formula_sum 'Ru2 Pt2 Cl2'
_space_group_name_H-M_alt 'I 4 m m'
_space_group_IT_number 107
_space_group_name_Hall 'I 4 -2'
_cell_length_a 2.834
_cell_length_b 2.834
_cell_length_c 12.059
_cell_angle_alpha 90.00
_cell_angle_beta 90.00
_cell_angle_gamma 90.00
loop_
_atom_site_label
_atom_site_type_symbol
_atom_site_fract_x
_atom_site_fract_y
_atom_site_fract_z
_atom_site_occupancy
Ru1 Ru 0.000 0.000 0.000 1
Pt1 Pt 0.000 0.000 0.360 1
Cl1 Cl 0.000 0.000 0.630 1

---

[5]
# GaBi2TeCl PBEsol optimized geometry
# * formation energy (no corrections): 0.569 eV per atom
data_GaBi2TeCl
_chemical_formula_sum 'Ga1 Bi2 Te1 Cl1'
_space_group_name_H-M_alt 'P 4/m m m'
_space_group_IT_number 123
_space_group_name_Hall '-P 4 2'
_cell_length_a 5.369
_cell_length_b 5.369
_cell_length_c 5.577
_cell_angle_alpha 90.00
_cell_angle_beta 90.00
_cell_angle_gamma 90.00
loop_
_atom_site_label
_atom_site_type_symbol
_atom_site_fract_x
_atom_site_fract_y
_atom_site_fract_z
_atom_site_occupancy
Ga1 Ga 0.000 0.000 0.000 1
Bi1 Bi 0.000 0.500 0.500 1
Te1 Te 0.500 0.500 0.000 1
Cl1 Cl 0.500 0.500 0.500 1

---

[6]
# Ta2TiBe2 PBEsol optimized geometry
# * energy of formation from the pure elements: -85 meV/atom
data_Ta2TiBe2
_chemical_formula_sum 'Ta4 Ti2 Be4'
_space_group_name_H-M_alt 'P 4/m b m'
_space_group_IT_number 127
_space_group_name_Hall '-P 4 2ab'
_cell_length_a 6.407
_cell_length_b 6.407
_cell_length_c 3.315
_cell_angle_alpha 90.00
_cell_angle_beta 90.00
_cell_angle_gamma 90.00
loop_
_atom_site_label
_atom_site_type_symbol
_atom_site_fract_x
_atom_site_fract_y
_atom_site_fract_z
_atom_site_occupancy
Ta1 Ta 0.178 0.322 0.000 1
Ti1 Ti 0.000 0.000 0.500 1
Be1 Be 0.115 0.615 0.500 1